Record 1
VASP calculation (meta-GGA SCAN) on a crystal of Si2MoIr relaxed with PBEsol.

Summary:
- E_form (uncorrected) (eV per formula unit) = -0.25
- E (eV per formula unit) = -126.3
- space group = No. 160

Cell: 8.100 8.100 8.100 Å, 20.30 20.30 20.30°
Element x y z (fractional)
Si  0.000  0.000  0.000
Si  0.251  0.251  0.251
Mo  0.502  0.502  0.502
Ir  0.743  0.743  0.743



Record 2
VASP calculation (meta-GGA SCAN) on a crystal of MgBiP3 relaxed with PBEsol.

Summary:
- E (eV per formula unit) = -110.4
- space group = No. 221

Cell: 4.761 4.761 4.761 Å, 90.00 90.00 90.00°
Element x y z (fractional)
Mg  0.000  0.000  0.000
Bi  0.500  0.500  0.500
P  0.000  0.000  0.500
P  0.000  0.500  0.000
P  0.500  0.000  0.000



Record 3
VASP calculation (meta-GGA SCAN) on a crystal of ZnPdNF2 relaxed with PBEsol.

Summary:
- E_form (uncorrected) (eV per formula unit) = -0.66
- E (eV per formula unit) = -63.3
- space group = No. 123

Cell: 4.194 4.194 3.750 Å, 90.00 90.00 90.00°
Element x y z (fractional)
Zn  0.000  0.000  0.000
Pd  0.500  0.500  0.500
N  0.500  0.500  0.000
F  0.000  0.500  0.500
F  0.500  0.000  0.500



Record 4
VASP calculation (meta-GGA SCAN) on a crystal of PtRhAu2 relaxed with PBEsol.

Summary:
- E (eV per formula unit) = -241.7
- space group = No. 10

Cell: 2.754 4.762 4.786 Å, 90.00 90.06 90.00°
Element x y z (fractional)
Pt  0.000  0.000  0.000
Rh  0.500  0.000  0.500
Au  0.247  0.500  0.748
Au  0.753  0.500  0.252



Record 5
VASP calculation (meta-GGA SCAN) on a crystal of Mg5Zn relaxed with PBEsol.

Summary:
- E (eV per formula unit) = -38.5
- space group = No. 65

Cell: 6.841 6.841 4.360 Å, 90.00 90.00 142.48°
Element x y z (fractional)
Mg  0.000  0.000  0.000
Mg  0.160  0.840  0.500
Mg  0.338  0.662  0.000
Mg  0.662  0.338  0.000
Mg  0.840  0.160  0.500
Zn  0.500  0.500  0.500



Record 6
VASP calculation (meta-GGA SCAN) on a crystal of BeHg2As relaxed with PBEsol.

Summary:
- E (eV per formula unit) = -158.6
- space group = No. 65

Cell: 4.668 4.668 3.794 Å, 90.00 90.00 111.50°
Element x y z (fractional)
Be  0.000  0.000  0.000
Hg  0.000  0.500  0.500
Hg  0.500  0.000  0.500
As  0.500  0.500  0.000



Record 7
VASP calculation (meta-GGA SCAN) on a crystal of LiMgP2 relaxed with PBEsol.

Summary:
- E (eV per formula unit) = -29.3
- space group = No. 10

Cell: 2.874 3.708 5.637 Å, 90.00 93.83 90.00°
Element x y z (fractional)
Li  0.000  0.000  0.000
Mg  0.000  0.000  0.500
P  0.490  0.500  0.774
P  0.510  0.500  0.226



Record 8
VASP calculation (meta-GGA SCAN) on a crystal of CaSc2Si relaxed with PBEsol.

Summary:
- E_form (uncorrected) (eV per formula unit) = -0.74
- E (eV per formula unit) = -48.9
- space group = No. 99

Cell: 3.338 3.338 8.358 Å, 90.00 90.00 90.00°
Element x y z (fractional)
Ca  0.000  0.000  0.000
Sc  0.000  0.000  0.588
Sc  0.500  0.500  0.337
Si  0.500  0.500  0.769



Record 9
VASP calculation (meta-GGA SCAN) on a crystal of MgCo3Ru relaxed with PBEsol.

Summary:
- E (eV per formula unit) = -85.8
- space group = No. 221

Cell: 4.379 4.379 4.379 Å, 90.00 90.00 90.00°
Element x y z (fractional)
Mg  0.000  0.000  0.000
Co  0.000  0.500  0.500
Co  0.500  0.000  0.500
Co  0.500  0.500  0.000
Ru  0.500  0.500  0.500



Record 10
VASP calculation (meta-GGA SCAN) on a crystal of Cs2CaHg2 relaxed with PBEsol.

Summary:
- E (eV per formula unit) = -221.8
- space group = No. 139

Cell: 8.763 8.763 8.763 Å, 146.88 146.88 47.54°
Element x y z (fractional)
Cs  0.250  0.750  0.500
Cs  0.750  0.250  0.500
Ca  0.000  0.000  0.000
Hg  0.414  0.414  0.000
Hg  0.586  0.586  0.000



Record 11
VASP calculation (meta-GGA SCAN) on a crystal of ZnSb2Ir relaxed with PBEsol.

Summary:
- E_form (uncorrected) (eV per formula unit) = 1.67
- E (eV per formula unit) = -157.5
- space group = No. 123

Cell: 4.504 4.504 3.735 Å, 90.00 90.00 90.00°
Element x y z (fractional)
Zn  0.000  0.000  0.000
Sb  0.000  0.500  0.500
Sb  0.500  0.000  0.500
Ir  0.500  0.500  0.000



Record 12
VASP calculation (meta-GGA SCAN) on a crystal of BaSbI3 relaxed with PBEsol.

Summary:
- E_form (uncorrected) (eV per formula unit) = -3.29
- E (eV per formula unit) = -190.3
- space group = No. 221

Cell: 6.038 6.038 6.038 Å, 90.00 90.00 90.00°
Element x y z (fractional)
Ba  0.000  0.000  0.000
Sb  0.500  0.500  0.500
I  0.000  0.500  0.500
I  0.500  0.000  0.500
I  0.500  0.500  0.000



Record 13
VASP calculation (meta-GGA SCAN) on a crystal of Al2GaReC relaxed with PBEsol.

Summary:
- E (eV per formula unit) = -109.5
- space group = No. 123

Cell: 4.833 4.833 3.973 Å, 90.00 90.00 90.00°
Element x y z (fractional)
Al  0.000  0.500  0.000
Al  0.500  0.000  0.000
Ga  0.000  0.000  0.500
Re  0.500  0.500  0.000
C  0.500  0.500  0.500



Record 14
VASP calculation (meta-GGA SCAN) on a crystal of ZnCu2Au relaxed with PBEsol.

Summary:
- E (eV per formula unit) = -113.5
- space group = No. 8

Cell: 4.561 4.561 4.546 Å, 101.30 101.30 35.39°
Element x y z (fractional)
Zn  0.000  0.000  0.000
Cu  0.490  0.490  0.469
Cu  0.747  0.747  0.240
Au  0.244  0.244  0.735



Record 15
VASP calculation (meta-GGA SCAN) on a crystal of BaTePt2 relaxed with PBEsol.

Summary:
- E_form (uncorrected) (eV per formula unit) = -2.29
- E (eV per formula unit) = -219.5
- space group = No. 44

Cell: 5.811 5.811 5.811 Å, 141.43 121.36 72.40°
Element x y z (fractional)
Ba  0.000  0.000  0.000
Te  0.303  0.803  0.500
Pt  0.491  0.491  0.000
Pt  0.673  0.173  0.500



Record 16
VASP calculation (meta-GGA SCAN) on a crystal of CoSbPb4 relaxed with PBEsol.

Summary:
- E_form (uncorrected) (eV per formula unit) = 4.62
- E (eV per formula unit) = -353.1
- space group = No. 216

Cell: 6.233 6.233 6.233 Å, 60.00 60.00 60.00°
Element x y z (fractional)
Co  0.000  0.000  0.000
Sb  0.750  0.750  0.750
Pb  0.375  0.375  0.375
Pb  0.375  0.375  0.876
Pb  0.375  0.876  0.375
Pb  0.876  0.375  0.375



Record 17
VASP calculation (meta-GGA SCAN) on a crystal of ZrIrAu2 relaxed with PBEsol.

Summary:
- E (eV per formula unit) = -241.8
- space group = No. 216

Cell: 4.594 4.594 4.594 Å, 60.00 60.00 60.00°
Element x y z (fractional)
Zr  0.000  0.000  0.000
Ir  0.750  0.750  0.750
Au  0.250  0.250  0.250
Au  0.500  0.500  0.500



Record 18
VASP calculation (meta-GGA SCAN) on a crystal of RbBe2F5 relaxed with PBEsol.

Summary:
- E_form (uncorrected) (eV per formula unit) = -26.67
- E (eV per formula unit) = -73.8
- space group = No. 1

Cell: 4.600 4.646 6.720 Å, 70.60 74.07 60.35°
Element x y z (fractional)
Rb  0.000  0.000  0.000
Be  0.299  0.208  0.400
Be  0.705  0.786  0.601
F  0.003  0.495  0.503
F  0.293  0.263  0.170
F  0.347  0.847  0.557
F  0.659  0.146  0.443
F  0.706  0.737  0.831



Record 19
VASP calculation (meta-GGA SCAN) on a crystal of LiTa2Ir relaxed with PBEsol.

Summary:
- E (eV per formula unit) = -207.3
- space group = No. 71

Cell: 4.999 4.999 4.999 Å, 139.52 129.01 67.04°
Element x y z (fractional)
Li  0.000  0.000  0.000
Ta  0.264  0.764  0.500
Ta  0.736  0.236  0.500
Ir  0.500  0.500  0.000



Record 20
VASP calculation (meta-GGA SCAN) on a crystal of LaIr2SeO relaxed with PBEsol.

Summary:
- E_form (uncorrected) (eV per formula unit) = -0.90
- E (eV per formula unit) = -212.5
- space group = No. 123

Cell: 4.569 4.569 4.389 Å, 90.00 90.00 90.00°
Element x y z (fractional)
La  0.000  0.000  0.000
Ir  0.000  0.500  0.500
Ir  0.500  0.000  0.500
Se  0.500  0.500  0.500
O  0.500  0.500  0.000



Record 21
VASP calculation (meta-GGA SCAN) on a crystal of Cu2TeS relaxed with PBEsol.

Summary:
- E_form (uncorrected) (eV per formula unit) = -0.62
- E (eV per formula unit) = -77.9
- space group = No. 122

Cell: 6.642 6.642 6.642 Å, 131.46 131.46 71.09°
Element x y z (fractional)
Cu  0.075  0.625  0.950
Cu  0.375  0.325  0.450
Cu  0.675  0.125  0.050
Cu  0.875  0.925  0.550
Te  0.250  0.750  0.500
Te  0.500  0.500  0.000
S  0.000  0.000  0.000
S  0.750  0.250  0.500



Record 22
VASP calculation (meta-GGA SCAN) on a crystal of Re2PRh relaxed with PBEsol.

Summary:
- E (eV per formula unit) = -185.4
- space group = No. 119

Cell: 4.630 4.630 4.630 Å, 131.76 131.76 70.62°
Element x y z (fractional)
Re  0.000  0.000  0.000
Re  0.750  0.250  0.500
P  0.250  0.750  0.500
Rh  0.500  0.500  0.000



Record 23
VASP calculation (meta-GGA SCAN) on a crystal of ZrW relaxed with PBEsol.

Summary:
- E (eV per formula unit) = -99.7
- space group = No. 166

Cell: 9.388 9.388 9.388 Å, 18.83 18.83 18.83°
Element x y z (fractional)
Zr  0.119  0.119  0.119
Zr  0.881  0.881  0.881
W  0.368  0.368  0.368
W  0.632  0.632  0.632



Record 24
VASP calculation (meta-GGA SCAN) on a crystal of Ta2TcAg relaxed with PBEsol.

Summary:
- E (eV per formula unit) = -199.0
- space group = No. 99

Cell: 3.260 3.260 6.184 Å, 90.00 90.00 90.00°
Element x y z (fractional)
Ta  0.000  0.000  0.000
Ta  0.500  0.500  0.263
Tc  0.000  0.000  0.480
Ag  0.500  0.500  0.745



Record 25
VASP calculation (meta-GGA SCAN) on a crystal of HgBTe2N relaxed with PBEsol.

Summary:
- E_form (uncorrected) (eV per formula unit) = 9.96
- E (eV per formula unit) = -149.4
- space group = No. 123

Cell: 5.692 5.692 3.949 Å, 90.00 90.00 90.00°
Element x y z (fractional)
Hg  0.000  0.000  0.000
B  0.500  0.500  0.500
Te  0.000  0.500  0.000
Te  0.500  0.000  0.000
N  0.000  0.000  0.500



Record 26
VASP calculation (meta-GGA SCAN) on a crystal of BeCr2Os relaxed with PBEsol.

Summary:
- E (eV per formula unit) = -113.5
- space group = No. 71

Cell: 4.750 4.750 4.750 Å, 144.86 133.61 59.50°
Element x y z (fractional)
Be  0.000  0.000  0.000
Cr  0.249  0.749  0.500
Cr  0.751  0.251  0.500
Os  0.500  0.500  0.000



Record 27
VASP calculation (meta-GGA SCAN) on a crystal of CrMo2Os relaxed with PBEsol.

Summary:
- E (eV per formula unit) = -159.7
- space group = No. 71

Cell: 5.022 5.022 5.022 Å, 144.86 129.29 63.19°
Element x y z (fractional)
Cr  0.000  0.000  0.000
Mo  0.237  0.737  0.500
Mo  0.763  0.263  0.500
Os  0.500  0.500  0.000



Record 28
VASP calculation (meta-GGA SCAN) on a crystal of MgTlMoIr2 relaxed with PBEsol.

Summary:
- E (eV per formula unit) = -243.8
- space group = No. 123

Cell: 4.928 4.928 5.000 Å, 90.00 90.00 90.00°
Element x y z (fractional)
Mg  0.000  0.000  0.000
Tl  0.500  0.500  0.500
Mo  0.500  0.500  0.000
Ir  0.000  0.500  0.500
Ir  0.500  0.000  0.500



Record 29
VASP calculation (meta-GGA SCAN) on a crystal of BeInBi3 relaxed with PBEsol.

Summary:
- E (eV per formula unit) = -267.0
- space group = No. 221

Cell: 5.659 5.659 5.659 Å, 90.00 90.00 90.00°
Element x y z (fractional)
Be  0.000  0.000  0.000
In  0.500  0.500  0.500
Bi  0.000  0.500  0.500
Bi  0.500  0.000  0.500
Bi  0.500  0.500  0.000